[1]
# meta-GGA SCAN LaCrTe2, PBEsol geometry
# SG: P4mm, No. 99
# DOS(E_F): 0.307 states/eV/atom
# Volume: 29.5 Å³/atom
# E_tot: -34.99 eV per atom
# Energy relative to the elements, uncorrected: -95.7 kJ per mole of atoms
data_LaCrTe2
_chemical_formula_sum 'La1 Cr1 Te2'
_cell_length_a 4.361
_cell_length_b 4.361
_cell_length_c 6.199
_cell_angle_alpha 90.00
_cell_angle_beta 90.00
_cell_angle_gamma 90.00
_symmetry_space_group_name_H-M 'P 1'
_symmetry_Int_Tables_number 1
_symmetry_space_group_name_Hall 'P 1'
loop_
_atom_site_label
_atom_site_fract_x
_atom_site_fract_y
_atom_site_fract_z
La1 0.000 0.000 0.000
Cr1 0.500 0.500 0.550
Te1 0.000 0.000 0.509
Te2 0.500 0.500 0.041

=====

[2]
# meta-GGA SCAN Ce3SiPt5, PBEsol geometry
# SG: Imma, No. 74
# DOS(E_F): 0.972 states/eV/atom
# Volume: 19.0 Å³/atom
# E_tot: -56.23 eV per atom
# Energy relative to the elements, uncorrected: -122.4 kJ per mole of atoms
data_Ce3SiPt5
_chemical_formula_sum 'Ce6 Si2 Pt10'
_cell_length_a 8.248
_cell_length_b 8.248
_cell_length_c 8.248
_cell_angle_alpha 127.97
_cell_angle_beta 77.33
_cell_angle_gamma 127.15
_symmetry_space_group_name_H-M 'P 1'
_symmetry_Int_Tables_number 1
_symmetry_space_group_name_Hall 'P 1'
loop_
_atom_site_label
_atom_site_fract_x
_atom_site_fract_y
_atom_site_fract_z
Ce1 0.123 0.873 0.250
Ce2 0.268 0.220 0.048
Ce3 0.328 0.780 0.548
Ce4 0.672 0.220 0.452
Ce5 0.732 0.780 0.952
Ce6 0.877 0.127 0.750
Si1 0.279 0.529 0.750
Si2 0.721 0.471 0.250
Pt1 0.042 0.233 0.401
Pt2 0.042 0.641 0.809
Pt3 0.332 0.233 0.691
Pt4 0.332 0.641 0.099
Pt5 0.500 0.000 0.000
Pt6 0.500 0.500 0.500
Pt7 0.668 0.359 0.901
Pt8 0.668 0.767 0.309
Pt9 0.958 0.359 0.191
Pt10 0.958 0.767 0.599

=====

[3]
# meta-GGA SCAN YNiAs2Se, PBEsol geometry
# SG: P4/mmm, No. 123
# DOS(E_F): 0.613 states/eV/atom
# Volume: 19.9 Å³/atom
# E_tot: -21.31 eV per atom
# Energy relative to the elements, uncorrected: -40.4 kJ per mole of atoms
data_YNiAs2Se
_chemical_formula_sum 'Y1 Ni1 As2 Se1'
_cell_length_a 4.511
_cell_length_b 4.511
_cell_length_c 4.899
_cell_angle_alpha 90.00
_cell_angle_beta 90.00
_cell_angle_gamma 90.00
_symmetry_space_group_name_H-M 'P 1'
_symmetry_Int_Tables_number 1
_symmetry_space_group_name_Hall 'P 1'
loop_
_atom_site_label
_atom_site_fract_x
_atom_site_fract_y
_atom_site_fract_z
Y1 0.000 0.000 0.000
Ni1 0.500 0.500 0.500
As1 0.000 0.500 0.500
As2 0.500 0.000 0.500
Se1 0.500 0.500 0.000

=====

[4]
# meta-GGA SCAN HfNbRuPb2, PBEsol geometry
# SG: P4/mmm, No. 123
# DOS(E_F): 0.603 states/eV/atom
# Volume: 27.7 Å³/atom
# E_tot: -55.09 eV per atom
data_HfNbRuPb2
_chemical_formula_sum 'Hf1 Nb1 Ru1 Pb2'
_cell_length_a 5.294
_cell_length_b 5.294
_cell_length_c 4.941
_cell_angle_alpha 90.00
_cell_angle_beta 90.00
_cell_angle_gamma 90.00
_symmetry_space_group_name_H-M 'P 1'
_symmetry_Int_Tables_number 1
_symmetry_space_group_name_Hall 'P 1'
loop_
_atom_site_label
_atom_site_fract_x
_atom_site_fract_y
_atom_site_fract_z
Hf1 0.000 0.000 0.000
Nb1 0.000 0.000 0.500
Ru1 0.500 0.500 0.000
Pb1 0.000 0.500 0.500
Pb2 0.500 0.000 0.500

=====

[5]
# meta-GGA SCAN LaMg2Rh2, PBEsol geometry
# SG: I4/mmm, No. 139
# DOS(E_F): 0.379 states/eV/atom
# Volume: 20.0 Å³/atom
# E_tot: -24.73 eV per atom
data_LaMg2Rh2
_chemical_formula_sum 'La1 Mg2 Rh2'
_cell_length_a 6.619
_cell_length_b 6.619
_cell_length_c 6.619
_cell_angle_alpha 143.97
_cell_angle_beta 143.97
_cell_angle_gamma 51.87
_symmetry_space_group_name_H-M 'P 1'
_symmetry_Int_Tables_number 1
_symmetry_space_group_name_Hall 'P 1'
loop_
_atom_site_label
_atom_site_fract_x
_atom_site_fract_y
_atom_site_fract_z
La1 0.000 0.000 0.000
Mg1 0.250 0.750 0.500
Mg2 0.750 0.250 0.500
Rh1 0.394 0.394 0.000
Rh2 0.606 0.606 0.000

=====

[6]
# meta-GGA SCAN HgSeBr2, PBEsol geometry
# SG: R-3m, No. 166
# DOS(E_F): 0.471 states/eV/atom
# Volume: 25.1 Å³/atom
# E_tot: -31.50 eV per atom
# Energy relative to the elements, uncorrected: 28.4 kJ per mole of atoms
data_HgSeBr2
_chemical_formula_sum 'Hg1 Se1 Br2'
_cell_length_a 8.593
_cell_length_b 8.593
_cell_length_c 8.593
_cell_angle_alpha 25.07
_cell_angle_beta 25.07
_cell_angle_gamma 25.07
_symmetry_space_group_name_H-M 'P 1'
_symmetry_Int_Tables_number 1
_symmetry_space_group_name_Hall 'P 1'
loop_
_atom_site_label
_atom_site_fract_x
_atom_site_fract_y
_atom_site_fract_z
Hg1 0.000 0.000 0.000
Se1 0.500 0.500 0.500
Br1 0.259 0.259 0.259
Br2 0.741 0.741 0.741

=====

[7]
# meta-GGA SCAN SiSeO3, PBEsol geometry
# SG: Pm-3m, No. 221
# DOS(E_F): 0.052 states/eV/atom
# Volume: 12.0 Å³/atom
# E_tot: -9.85 eV per atom
# Energy relative to the elements, uncorrected: -9.3 kJ per mole of atoms
data_SiSeO3
_chemical_formula_sum 'Si1 Se1 O3'
_cell_length_a 3.917
_cell_length_b 3.917
_cell_length_c 3.917
_cell_angle_alpha 90.00
_cell_angle_beta 90.00
_cell_angle_gamma 90.00
_symmetry_space_group_name_H-M 'P 1'
_symmetry_Int_Tables_number 1
_symmetry_space_group_name_Hall 'P 1'
loop_
_atom_site_label
_atom_site_fract_x
_atom_site_fract_y
_atom_site_fract_z
Si1 0.000 0.000 0.000
Se1 0.500 0.500 0.500
O1 0.000 0.500 0.500
O2 0.500 0.000 0.500
O3 0.500 0.500 0.000

=====

[8]
# meta-GGA SCAN La2YNi2, PBEsol geometry
# SG: I4/mmm, No. 139
# DOS(E_F): 0.825 states/eV/atom
# Volume: 24.4 Å³/atom
# E_tot: -29.15 eV per atom
data_La2YNi2
_chemical_formula_sum 'La2 Y1 Ni2'
_cell_length_a 6.133
_cell_length_b 6.133
_cell_length_c 6.133
_cell_angle_alpha 132.80
_cell_angle_beta 132.80
_cell_angle_gamma 68.96
_symmetry_space_group_name_H-M 'P 1'
_symmetry_Int_Tables_number 1
_symmetry_space_group_name_Hall 'P 1'
loop_
_atom_site_label
_atom_site_fract_x
_atom_site_fract_y
_atom_site_fract_z
La1 0.149 0.149 0.000
La2 0.851 0.851 0.000
Y1 0.500 0.500 0.000
Ni1 0.250 0.750 0.500
Ni2 0.750 0.250 0.500